Record 1
## AgOs2Cl8 (GGA-PBE)

Data for a relaxed AgOs2Cl8 crystal.

Cell: 4.8064 7.8910 9.8367 Å, 121.38 78.64 104.85°
Positions (direct):
Cl 0.8297 0.9145 0.2228
Cl 0.5902 0.2533 0.1297
Cl 0.2243 0.5515 0.1170
Cl 0.4098 0.7467 0.8703
Cl 0.7757 0.4485 0.8830
Cl 0.1703 0.0855 0.7772
Cl 0.3376 0.2959 0.5580
Cl 0.6624 0.7042 0.4420
Os 0.2843 0.4168 0.8243
Os 0.7157 0.5831 0.1757
Ag 0.0000 0.0000 0.0000

Values from the calculation:
As for the formation energy without anion corrections: -2.4 eV per formula unit. As for the space-group type: P-1. The size of the total moment is 3.71 μB per formula unit.

Record 2
## Li3B4C4 (GGA-PBE)

Data for a relaxed Li3B4C4 crystal.

Cell: 2.7311 2.7311 27.9931 Å, 90.00 90.00 120.00°
Positions (direct):
B 0.3333 0.6667 0.9434
B 0.3333 0.6667 0.1886
B 0.3333 0.6667 0.4355
B 0.3333 0.6667 0.6880
B 0.6667 0.3333 0.5620
B 0.6667 0.3333 0.0614
B 0.6667 0.3333 0.3066
B 0.6667 0.3333 0.8145
C 0.6667 0.3333 0.1865
C 0.6667 0.3333 0.6879
C 0.3333 0.6667 0.3091
C 0.3333 0.6667 0.0635
C 0.3333 0.6667 0.5621
C 0.6667 0.3333 0.4358
C 0.3333 0.6667 0.8142
C 0.6667 0.3333 0.9409
Li 0.0000 0.0000 0.7514
Li 0.0000 0.0000 0.1250
Li 0.0000 0.0000 0.8797
Li 0.0000 0.0000 0.4986
Li 0.0000 0.0000 0.3703
Li 0.0000 0.0000 0.6250

Values from the calculation:
As for the space-group type: P-3m1. The size of the total moment is 0.00 μB per formula unit. The formation enthalpy at 0 K is -2.2 eV/f.u.

Record 3
## TbLuZnRh (GGA-PBE)

Data for a relaxed TbLuZnRh crystal.

Cell: 4.8931 4.8931 4.8931 Å, 60.00 60.00 60.00°
Positions (direct):
Rh 0.5000 0.5000 0.5000
Zn 0.0000 0.0000 0.0000
Tb 0.7500 0.7500 0.7500
Lu 0.2500 0.2500 0.2500

Values from the calculation:
As for the space-group type: F-43m. The size of the total moment is 0.00 μB per formula unit. The formation enthalpy at 0 K is -2.5 eV/f.u.

Record 4
## Be3Pb2Au9 (GGA-PBE)

Data for a relaxed Be3Pb2Au9 crystal.

Cell: 5.5162 5.5162 19.6113 Å, 81.20 109.32 111.57°
Positions (direct):
Be 0.6848 0.1643 0.4813
Be 0.8170 0.7965 0.9813
Be 0.1830 0.2035 0.0187
Be 0.3152 0.8357 0.5187
Be 0.5000 0.5000 0.5000
Be 0.5000 0.0000 0.0000
Au 0.8054 0.9107 0.1084
Au 0.1539 0.3605 0.5553
Au 0.7932 0.0432 0.7500
Au 0.7701 0.1985 0.9233
Au 0.2068 0.9568 0.2500
Au 0.2248 0.1533 0.4233
Au 0.2299 0.8015 0.0767
Au 0.3024 0.6970 0.3916
Au 0.3360 0.3439 0.1413
Au 0.7026 0.1947 0.3587
Au 0.3053 0.5986 0.9447
Au 0.6947 0.4014 0.0553
Au 0.2974 0.8053 0.6413
Au 0.6976 0.3030 0.6084
Au 0.8461 0.6395 0.4447
Au 0.6640 0.6561 0.8587
Au 0.1946 0.0893 0.8916
Au 0.7752 0.8467 0.5767
Pb 0.3476 0.2790 0.7214
Pb 0.9424 0.3738 0.2214
Pb 0.6524 0.7210 0.2786
Pb 0.0576 0.6262 0.7786

Values from the calculation:
As for the space-group type: C2/c. The size of the total moment is 0.00 μB per formula unit. The formation enthalpy at 0 K is -0.4 eV/f.u.

Record 5
## La4SnSbH (GGA-PBE)

Data for a relaxed La4SnSbH crystal.

Cell: 6.6476 6.6244 9.7502 Å, 90.00 109.93 90.00°
Positions (direct):
Sb 0.1134 0.2500 0.2268
Sb 0.8866 0.7500 0.7732
La 0.0000 0.5000 0.5000
La 0.5000 0.5000 0.5000
La 0.0000 0.0000 0.5000
La 0.5000 0.0000 0.5000
La 0.4308 0.7500 0.8615
La 0.0711 0.7500 0.1423
La 0.9289 0.2500 0.8577
La 0.5692 0.2500 0.1385
Sn 0.3863 0.2500 0.7726
Sn 0.6137 0.7500 0.2274
H 0.2951 0.7500 0.5901
H 0.7049 0.2500 0.4099

Values from the calculation:
The calculation puts the total DFT energy (no corrections) at -73.4 eV/cell. As for the space-group type: Cmcm. The size of the total moment is 1.23 μB per formula unit.

Record 6
## BaTbNd2 (GGA-PBE)

Data for a relaxed BaTbNd2 crystal.

Cell: 3.6870 3.6870 13.3223 Å, 82.05 82.05 60.00°
Positions (direct):
Nd 0.0937 0.0937 0.7189
Nd 0.9063 0.9063 0.2811
Tb 0.5000 0.5000 0.5000
Ba 0.0000 0.0000 0.0000

Values from the calculation:
As for the space-group type: R-3m. The size of the total moment is 0.00 μB per formula unit. The formation enthalpy at 0 K is 0.8 eV/f.u.

Record 7
## Dy5Ho5Sc2 (GGA-PBE)

Data for a relaxed Dy5Ho5Sc2 crystal.

Cell: 5.5182 6.4142 12.0303 Å, 107.46 90.00 115.48°
Positions (direct):
Ho 0.5000 0.0000 0.5000
Ho 0.3073 0.6145 0.9683
Ho 0.6927 0.3855 0.0317
Ho 0.5746 0.1493 0.2466
Ho 0.4254 0.8507 0.7534
Dy 0.8215 0.6429 0.5315
Dy 0.0000 0.0000 0.0000
Dy 0.7354 0.4709 0.7717
Dy 0.1785 0.3571 0.4685
Dy 0.2646 0.5291 0.2283
Sc 0.9151 0.8302 0.2901
Sc 0.0849 0.1698 0.7099

Values from the calculation:
As for the space-group type: C2/m. The size of the total moment is 0.00 μB per formula unit. The formation enthalpy at 0 K is 1.3 eV/f.u.

Record 8
## Ce2ThWN5 (GGA-PBE)

Data for a relaxed Ce2ThWN5 crystal.

Cell: 5.8931 6.6487 6.6487 Å, 90.00 90.00 90.00°
Positions (direct):
Th 0.0000 0.0000 0.0000
Th 0.0000 0.5000 0.5000
N 0.5000 0.5000 0.5000
N 0.7671 0.1506 0.6506
N 0.2329 0.1506 0.6506
N 0.7671 0.8494 0.3494
N 0.5000 0.0000 0.0000
N 0.7671 0.6506 0.8494
N 0.2329 0.6506 0.8494
N 0.7671 0.3494 0.1506
N 0.2329 0.8494 0.3494
N 0.2329 0.3494 0.1506
W 0.0000 0.0000 0.5000
W 0.0000 0.5000 0.0000
Ce 0.5000 0.8308 0.6692
Ce 0.5000 0.1692 0.3308
Ce 0.5000 0.3308 0.8308
Ce 0.5000 0.6692 0.1692

Values from the calculation:
As for the formation energy without anion corrections: -9.5 eV per formula unit. As for the space-group type: P4/mbm. The size of the total moment is 0.00 μB per formula unit.

Repeat the second record exactly.
## Li3B4C4 (GGA-PBE)

Data for a relaxed Li3B4C4 crystal.

Cell: 2.7311 2.7311 27.9931 Å, 90.00 90.00 120.00°
Positions (direct):
B 0.3333 0.6667 0.9434
B 0.3333 0.6667 0.1886
B 0.3333 0.6667 0.4355
B 0.3333 0.6667 0.6880
B 0.6667 0.3333 0.5620
B 0.6667 0.3333 0.0614
B 0.6667 0.3333 0.3066
B 0.6667 0.3333 0.8145
C 0.6667 0.3333 0.1865
C 0.6667 0.3333 0.6879
C 0.3333 0.6667 0.3091
C 0.3333 0.6667 0.0635
C 0.3333 0.6667 0.5621
C 0.6667 0.3333 0.4358
C 0.3333 0.6667 0.8142
C 0.6667 0.3333 0.9409
Li 0.0000 0.0000 0.7514
Li 0.0000 0.0000 0.1250
Li 0.0000 0.0000 0.8797
Li 0.0000 0.0000 0.4986
Li 0.0000 0.0000 0.3703
Li 0.0000 0.0000 0.6250

Values from the calculation:
As for the space-group type: P-3m1. The size of the total moment is 0.00 μB per formula unit. The formation enthalpy at 0 K is -2.2 eV/f.u.